Pt3SO | PBE | relaxed

abc: 4.287 4.287 4.287
angles: 90.00 90.00 90.00
Fractional coordinates of all 5 atoms:
1 Pt 0.000 0.000 0.500
2 Pt 0.000 0.500 0.000
3 Pt 0.500 0.000 0.000
4 S 0.500 0.500 0.500
5 O 0.000 0.000 0.000

## Properties
- density (Mg/m³) = 13.35
- space group = No. 221
- E above lowest polymorph (meV per atom) = 0

---

PtSO3 | PBE | relaxed

abc: 4.913 5.460 13.039
angles: 90.00 109.53 90.00
Fractional coordinates of all 20 atoms:
1 Pt 0.211 0.148 0.190
2 Pt 0.211 0.352 0.690
3 Pt 0.789 0.648 0.310
4 Pt 0.789 0.852 0.810
5 S 0.351 0.727 0.893
6 S 0.351 0.773 0.393
7 S 0.649 0.227 0.607
8 S 0.649 0.273 0.107
9 O 0.072 0.578 0.885
10 O 0.072 0.922 0.385
11 O 0.209 0.514 0.369
12 O 0.209 0.986 0.869
13 O 0.402 0.665 0.775
14 O 0.402 0.835 0.275
15 O 0.598 0.165 0.725
16 O 0.598 0.335 0.225
17 O 0.791 0.014 0.131
18 O 0.791 0.486 0.631
19 O 0.928 0.078 0.615
20 O 0.928 0.422 0.115

## Properties
- density (Mg/m³) = 5.54
- space group = No. 14
- energy (eV per atom) = -5.53

---

Pt6SO12 | PBE | relaxed

abc: 6.469 6.469 6.469
angles: 85.91 85.91 85.91
Fractional coordinates of all 19 atoms:
1 Pt 0.065 0.590 0.774
2 Pt 0.226 0.935 0.410
3 Pt 0.410 0.226 0.935
4 Pt 0.590 0.774 0.065
5 Pt 0.774 0.065 0.590
6 Pt 0.935 0.410 0.226
7 S 0.500 0.500 0.500
8 O 0.025 0.865 0.640
9 O 0.135 0.360 0.975
10 O 0.236 0.477 0.535
11 O 0.360 0.975 0.135
12 O 0.465 0.764 0.523
13 O 0.477 0.535 0.236
14 O 0.523 0.465 0.764
15 O 0.535 0.236 0.477
16 O 0.640 0.025 0.865
17 O 0.764 0.523 0.465
18 O 0.865 0.640 0.025
19 O 0.975 0.135 0.360

## Properties
- density (Mg/m³) = 8.62
- space group = No. 148
- energy (eV per atom) = -5.53

---

PtSO6 | PBE | relaxed

abc: 8.259 5.068 4.724
angles: 90.00 124.25 90.00
Fractional coordinates of all 16 atoms:
1 Pt 0.000 0.000 0.000
2 Pt 0.500 0.500 0.000
3 S 0.000 0.500 0.500
4 S 0.500 0.000 0.500
5 O 0.080 0.271 0.802
6 O 0.080 0.729 0.802
7 O 0.221 0.500 0.568
8 O 0.279 0.000 0.432
9 O 0.420 0.229 0.198
10 O 0.420 0.771 0.198
11 O 0.580 0.229 0.802
12 O 0.580 0.771 0.802
13 O 0.721 0.000 0.568
14 O 0.779 0.500 0.432
15 O 0.920 0.271 0.198
16 O 0.920 0.729 0.198

## Properties
- density (Mg/m³) = 6.57
- space group = No. 12
- energy (eV per atom) = -5.16

---

PtS2O6 | PBE | relaxed

abc: 7.261 7.261 7.261
angles: 37.65 37.65 37.65
Fractional coordinates of all 9 atoms:
1 Pt 0.000 0.000 0.000
2 S 0.575 0.575 0.575
3 S 0.758 0.758 0.758
4 O 0.038 0.739 0.416
5 O 0.288 0.610 0.909
6 O 0.416 0.038 0.739
7 O 0.610 0.909 0.288
8 O 0.739 0.416 0.038
9 O 0.909 0.288 0.610

## Properties
- density (Mg/m³) = 4.60
- space group = No. 146
- energy (eV per atom) = -5.63

---

PtSO2 | PBE | relaxed

abc: 2.840 2.840 20.308
angles: 90.00 90.00 120.00
Fractional coordinates of all 12 atoms:
1 Pt 0.000 0.000 0.000
2 Pt 0.333 0.667 0.667
3 Pt 0.667 0.333 0.333
4 S 0.000 0.000 0.500
5 S 0.333 0.667 0.167
6 S 0.667 0.333 0.833
7 O 0.000 0.000 0.099
8 O 0.000 0.000 0.901
9 O 0.333 0.667 0.568
10 O 0.333 0.667 0.766
11 O 0.667 0.333 0.234
12 O 0.667 0.333 0.432

## Properties
- density (Mg/m³) = 9.10
- space group = No. 166
- energy (eV per atom) = -4.69

---

SnPtSO2 | PBE | relaxed

abc: 4.038 4.038 4.891
angles: 90.00 90.00 90.00
Fractional coordinates of all 5 atoms:
1 Sn 0.000 0.000 0.000
2 Pt 0.500 0.500 0.500
3 S 0.500 0.500 0.000
4 O 0.000 0.500 0.500
5 O 0.500 0.000 0.500

## Properties
- density (Mg/m³) = 7.87
- space group = No. 123
- energy (eV per atom) = -4.97

---

SrPtS2O8 | PBE | relaxed

abc: 5.781 5.781 8.000
angles: 115.44 115.44 51.77
Fractional coordinates of all 12 atoms:
1 Sr 0.000 0.000 0.000
2 Pt 0.000 0.000 0.500
3 S 0.398 0.398 0.214
4 S 0.602 0.602 0.786
5 O 0.252 0.739 0.301
6 O 0.261 0.748 0.699
7 O 0.273 0.273 0.248
8 O 0.365 0.365 0.013
9 O 0.635 0.635 0.987
10 O 0.727 0.727 0.752
11 O 0.739 0.252 0.301
12 O 0.748 0.261 0.699

## Properties
- density (Mg/m³) = 4.27
- space group = No. 12
- energy (eV per atom) = -6.16

---

SbPt3O | PBE | relaxed

abc: 4.379 4.379 4.379
angles: 90.00 90.00 90.00
Fractional coordinates of all 5 atoms:
1 Sb 0.000 0.000 0.000
2 Pt 0.000 0.500 0.500
3 Pt 0.500 0.000 0.500
4 Pt 0.500 0.500 0.000
5 O 0.500 0.500 0.500

## Properties
- density (Mg/m³) = 14.30
- space group = No. 221
- E above lowest polymorph (meV per atom) = 0

---

SbPt3O | PBE | relaxed

abc: 4.980 4.980 4.980
angles: 90.00 90.00 90.00
Fractional coordinates of all 5 atoms:
1 Sb 0.000 0.000 0.000
2 Pt 0.000 0.000 0.500
3 Pt 0.000 0.500 0.000
4 Pt 0.500 0.000 0.000
5 O 0.500 0.500 0.500

## Properties
- density (Mg/m³) = 9.72
- space group = No. 221
- E above lowest polymorph (meV per atom) = 1035

---

Sb2Pt2O7 | PBE | relaxed

abc: 7.358 7.358 7.358
angles: 60.00 60.00 60.00
Fractional coordinates of all 22 atoms:
1 Sb 0.000 0.000 0.000
2 Sb 0.000 0.000 0.500
3 Sb 0.000 0.500 0.000
4 Sb 0.500 0.000 0.000
5 Pt 0.000 0.500 0.500
6 Pt 0.500 0.000 0.500
7 Pt 0.500 0.500 0.000
8 Pt 0.500 0.500 0.500
9 O 0.125 0.125 0.125
10 O 0.164 0.164 0.586
11 O 0.164 0.586 0.164
12 O 0.164 0.586 0.586
13 O 0.414 0.414 0.836
14 O 0.414 0.836 0.414
15 O 0.414 0.836 0.836
16 O 0.586 0.164 0.164
17 O 0.586 0.164 0.586
18 O 0.586 0.586 0.164
19 O 0.836 0.414 0.414
20 O 0.836 0.414 0.836
21 O 0.836 0.836 0.414
22 O 0.875 0.875 0.875

## Properties
- density (Mg/m³) = 8.79
- space group = No. 227
- energy (eV per atom) = -5.81

---

SbPtO2 | PBE | relaxed

abc: 4.098 4.098 13.560
angles: 90.00 90.00 90.00
Fractional coordinates of all 16 atoms:
1 Sb 0.000 0.000 0.000
2 Sb 0.000 0.500 0.250
3 Sb 0.500 0.000 0.750
4 Sb 0.500 0.500 0.500
5 Pt 0.000 0.000 0.500
6 Pt 0.000 0.500 0.750
7 Pt 0.500 0.000 0.250
8 Pt 0.500 0.500 0.000
9 O 0.241 0.250 0.125
10 O 0.250 0.741 0.375
11 O 0.250 0.759 0.875
12 O 0.259 0.250 0.625
13 O 0.741 0.750 0.625
14 O 0.750 0.241 0.875
15 O 0.750 0.259 0.375
16 O 0.759 0.750 0.125

## Properties
- density (Mg/m³) = 10.18
- space group = No. 122
- energy (eV per atom) = -5.27

---

Repeat the seventh record exactly.
SnPtSO2 | PBE | relaxed

abc: 4.038 4.038 4.891
angles: 90.00 90.00 90.00
Fractional coordinates of all 5 atoms:
1 Sn 0.000 0.000 0.000
2 Pt 0.500 0.500 0.500
3 S 0.500 0.500 0.000
4 O 0.000 0.500 0.500
5 O 0.500 0.000 0.500

## Properties
- density (Mg/m³) = 7.87
- space group = No. 123
- energy (eV per atom) = -4.97